Record 1
Below is a relaxed CeTh2Rh9 crystal, with properties calculated at the GGA-PBE level. Values from VASP.

E (eV per cell): -94.34
Space group: R-3m (166)
Energy above the lowest structure with this stoichiometry (meV per atom): 67

```
&SYSTEM
  ibrav = 0, nat = 12, ntyp = 3
/
ATOMIC_SPECIES
Ce 140.12 Ce.upf
Th 232.04 Th.upf
Rh 102.91 Rh.upf
CELL_PARAMETERS angstrom
5.3018 0.0000 0.0000
2.6509 4.5915 0.0000
2.6509 1.5305 8.9115
ATOMIC_POSITIONS crystal
Ce 0.0000 0.0000 0.0000
Th 0.8630 0.8630 0.4109
Th 0.1370 0.1370 0.5891
Rh 0.6667 0.6667 0.0000
Rh 0.3333 0.3333 0.0000
Rh 0.5000 0.5000 0.5000
Rh 0.4165 0.4165 0.2476
Rh 0.9194 0.4165 0.2476
Rh 0.4165 0.9194 0.2476
Rh 0.5835 0.5835 0.7524
Rh 0.5835 0.0806 0.7524
Rh 0.0806 0.5835 0.7524
```

Record 2
Below is a relaxed TlCr2As crystal, with properties calculated at the GGA-PBE level. Values from VASP.

E (eV per cell): -24.78
Space group: Imm2 (44)
Energy above the lowest structure with this stoichiometry (meV per atom): 111

```
&SYSTEM
  ibrav = 0, nat = 4, ntyp = 3
/
ATOMIC_SPECIES
As 74.92 As.upf
Cr 52.00 Cr.upf
Tl 204.38 Tl.upf
CELL_PARAMETERS angstrom
0.5009 -6.6010 3.0964
3.0599 -4.9680 4.4010
-1.5932 0.3861 2.6420
ATOMIC_POSITIONS crystal
As 0.2928 0.2928 0.2072
Cr 0.9205 0.9205 0.0794
Cr 0.7293 0.7293 0.7708
Tl 0.5574 0.5574 0.4426
```

Record 3
Below is a relaxed Li2PIr crystal, with properties calculated at the GGA-PBE level. Values from VASP.

E (eV per cell): -19.57
Space group: Pmm2 (25)

```
&SYSTEM
  ibrav = 0, nat = 4, ntyp = 3
/
ATOMIC_SPECIES
Ir 192.22 Ir.upf
Li 6.94 Li.upf
P 30.97 P.upf
CELL_PARAMETERS angstrom
2.9088 0.0000 0.0000
0.0000 3.3330 0.0000
0.0000 0.0000 5.6341
ATOMIC_POSITIONS crystal
Ir 0.5000 0.5000 0.7178
Li 0.0000 0.0000 0.9935
Li 0.5000 0.5000 0.2577
P 0.0000 0.0000 0.5311
```

Record 4
Below is a relaxed LaTbPdAu crystal, with properties calculated at the GGA-PBE level. Values from VASP.

E (eV per cell): -21.41
Space group: Amm2 (38)
Energy above the lowest structure with this stoichiometry (meV per atom): 0

```
&SYSTEM
  ibrav = 0, nat = 4, ntyp = 4
/
ATOMIC_SPECIES
La 138.91 La.upf
Tb 158.93 Tb.upf
Pd 106.42 Pd.upf
Au 196.97 Au.upf
CELL_PARAMETERS angstrom
-2.6299 0.9635 -2.6904
3.3143 -0.6053 -3.4565
-0.1127 -5.6656 0.8841
ATOMIC_POSITIONS crystal
La 0.1397 0.0000 0.2793
Tb 0.8651 0.5000 0.7302
Pd 0.4121 0.0000 0.8243
Au 0.5831 0.5000 0.1662
```

One value per record, in order, for calculated volume: 216.93 71.37 54.62 101.16 Å³ per cell.